A geometry-optimized Ac2PrNbO8 structure, computed with GGA-PBE.

The value obtained for the uncorrected energy is -7.9983 eV per atom. As for the crystal system: monoclinic. The formation energy without anion corrections is -2.771 eV per atom.

The space group is P2/m (No. 10) and the conventional cell measures 4.3074, 7.4507 and 5.6958 Å, with angles of 90.00, 91.91 and 90.00 degrees. The inequivalent atoms are Ac at (0.0000, 0.2477, 0.0000), Pr at (0.5000, 0.5000, 0.5000), Nb at (0.5000, 0.0000, 0.5000), O at (0.0112, 0.5000, 0.2533), O at (0.0395, 0.0000, 0.3736) and O at (0.4791, 0.2036, 0.7363).